(1)
The following is a DFT calculation (PBEsol) of a relaxed structure of CaPbBr2.

Lattice parameters (Å, degrees): 3.6657 4.8998 12.7170 90.00 90.00 90.00
Closest atoms and distances in Å follow each position.
Space group Imm2 (No. 44)
Asymmetric unit:
Ca (0.0000, 0.0000, 0.0000) [2 per cell]  6 Br 2.91-3.11
Pb (0.0000, 0.5000, 0.7429) [2 per cell]  6 Br 3.22-3.51, 2 Ca 3.59
Br (0.0000, 0.0000, 0.5451) [2 per cell]  4 Ca 3.11
Br (0.0000, 0.5000, 0.3227) [2 per cell]  2 Ca 2.91, 4 Pb 3.22

distance to the lowest polymorph of the same formula: 83 meV per atom
formation energy from raw total energies: -1.0167 eV/atom
magnetic moment: 0.0000 μB/atom

(2)
The following is a DFT calculation (PBEsol) of a relaxed structure of Ca2PbBr.

Lattice parameters (Å, degrees): 5.6665 5.6665 3.7087 90.00 90.00 90.00
Closest atoms and distances in Å follow each position.
Space group P4mm (No. 99)
Asymmetric unit:
Ca (0.0000, 0.5000, 0.0000) [2 per cell]  2 Br 2.84
Pb (0.0000, 0.0000, 0.4949) [1 per cell]  8 Ca 3.38-3.40, 2 Pb 3.71
Br (0.5000, 0.5000, 0.9566) [1 per cell]  4 Ca 2.84

distance to the lowest polymorph of the same formula: 0 meV per atom
formation energy from raw total energies: -1.0533 eV/atom
magnetic moment: 0.0000 μB/atom

(3)
The following is a DFT calculation (PBEsol) of a relaxed structure of Ca2PbBr.

Lattice parameters (Å, degrees): 3.7698 4.0757 8.1594 90.00 90.00 90.00
Closest atoms and distances in Å follow each position.
Space group Pmmm (No. 47)
Asymmetric unit:
Ca (0.0000, 0.0000, 0.2178) [2 per cell]  2 Br 2.98, 4 Pb 3.30
Pb (0.5000, 0.5000, 0.0000) [1 per cell]  8 Ca 3.30
Br (0.5000, 0.0000, 0.5000) [1 per cell]  4 Ca 2.98

distance to the lowest polymorph of the same formula: 12 meV per atom
formation energy from raw total energies: -1.0411 eV/atom
magnetic moment: 0.0000 μB/atom

(4)
The following is a DFT calculation (PBEsol) of a relaxed structure of CaPbBr2.

Lattice parameters (Å, degrees): 3.4654 3.4654 11.0296 90.00 90.00 90.00
Closest atoms and distances in Å follow each position.
Space group P4/mmm (No. 123)
Asymmetric unit:
Ca (0.0000, 0.0000, 0.0000) [1 per cell]  8 Br 2.98
Pb (0.0000, 0.0000, 0.5000) [1 per cell]  4 Pb 3.47
Br (0.5000, 0.5000, 0.1540) [2 per cell]  4 Ca 2.98

distance to the lowest polymorph of the same formula: 0 meV per atom
formation energy from raw total energies: -1.1000 eV/atom
magnetic moment: 0.0001 μB/atom

(5)
The following is a DFT calculation (PBEsol) of a relaxed structure of CaPt2PbBr.

Lattice parameters (Å, degrees): 4.8703 4.8703 5.0726 90.00 90.00 90.00
Closest atoms and distances in Å follow each position.
Space group P4/mmm (No. 123)
Asymmetric unit:
Ca (0.0000, 0.0000, 0.0000) [1 per cell]  2 Br 2.54
Pt (0.0000, 0.5000, 0.5000) [2 per cell]  2 Br 2.44
Pb (0.5000, 0.5000, 0.0000) [1 per cell]  4 Ca 3.44, 8 Pt 3.52
Br (0.0000, 0.0000, 0.5000) [1 per cell]  4 Pt 2.44, 2 Ca 2.54

formation energy from raw total energies: 0.2525 eV/atom
magnetic moment: 0.0000 μB/atom

(6)
The following is a DFT calculation (PBEsol) of a relaxed structure of CaPbSe2Br.

Lattice parameters (Å, degrees): 5.3615 5.3615 5.3502 90.00 90.00 90.00
Closest atoms and distances in Å follow each position.
Space group P4/mmm (No. 123)
Asymmetric unit:
Ca (0.0000, 0.0000, 0.0000) [1 per cell]  2 Br 2.68, 4 Se 2.68
Pb (0.5000, 0.5000, 0.5000) [1 per cell]  8 Se 3.79, 4 Br 3.79
Se (0.0000, 0.5000, 0.0000) [2 per cell]  2 Ca 2.68
Br (0.0000, 0.0000, 0.5000) [1 per cell]  2 Ca 2.68

formation energy from raw total energies: -0.5563 eV/atom
magnetic moment: 0.0004 μB/atom

(7)
The following is a DFT calculation (PBEsol) of a relaxed structure of CaPdBr3.

Lattice parameters (Å, degrees): 5.4695 5.4695 5.4695 90.00 90.00 90.00
Closest atoms and distances in Å follow each position.
Space group Pm-3m (No. 221)
Asymmetric unit:
Ca (0.0000, 0.0000, 0.0000) [1 per cell]  6 Br 2.73
Pd (0.5000, 0.5000, 0.5000) [1 per cell]  12 Br 3.87
Br (0.0000, 0.0000, 0.5000) [3 per cell]  2 Ca 2.73

distance to the lowest polymorph of the same formula: 376 meV per atom
formation energy from raw total energies: -0.4922 eV/atom
magnetic moment: 0.2118 μB/atom

(8)
The following is a DFT calculation (PBEsol) of a relaxed structure of CaPdBr3.

Lattice parameters (Å, degrees): 5.1067 5.1067 5.1067 90.00 90.00 90.00
Closest atoms and distances in Å follow each position.
Space group Pm-3m (No. 221)
Asymmetric unit:
Ca (0.0000, 0.0000, 0.0000) [1 per cell]  12 Br 3.61
Pd (0.5000, 0.5000, 0.5000) [1 per cell]  6 Br 2.55
Br (0.0000, 0.5000, 0.5000) [3 per cell]  2 Pd 2.55

distance to the lowest polymorph of the same formula: 0 meV per atom
formation energy from raw total energies: -0.8681 eV/atom
magnetic moment: 0.0000 μB/atom

(9)
The following is a DFT calculation (PBEsol) of a relaxed structure of CaPdSe2Br.

Lattice parameters (Å, degrees): 5.3726 5.3726 5.3047 90.00 90.00 90.00
Closest atoms and distances in Å follow each position.
Space group P4/mmm (No. 123)
Asymmetric unit:
Ca (0.0000, 0.0000, 0.0000) [1 per cell]  2 Br 2.65, 4 Se 2.69
Pd (0.5000, 0.5000, 0.5000) [1 per cell]  8 Se 3.78, 4 Br 3.80
Se (0.0000, 0.5000, 0.0000) [2 per cell]  2 Ca 2.69
Br (0.0000, 0.0000, 0.5000) [1 per cell]  2 Ca 2.65

formation energy from raw total energies: 0.2495 eV/atom
magnetic moment: 0.3864 μB/atom

(10)
The following is a DFT calculation (PBEsol) of a relaxed structure of CaPtBr3.

Lattice parameters (Å, degrees): 5.1281 5.1281 5.1281 90.00 90.00 90.00
Closest atoms and distances in Å follow each position.
Space group Pm-3m (No. 221)
Asymmetric unit:
Ca (0.0000, 0.0000, 0.0000) [1 per cell]  12 Br 3.63
Pt (0.5000, 0.5000, 0.5000) [1 per cell]  6 Br 2.56
Br (0.0000, 0.5000, 0.5000) [3 per cell]  2 Pt 2.56

formation energy from raw total energies: -0.6632 eV/atom
magnetic moment: 0.0000 μB/atom

(11)
The following is a DFT calculation (PBEsol) of a relaxed structure of CaPtBr2.

Lattice parameters (Å, degrees): 4.2470 5.4458 7.6161 90.00 90.00 90.00
Closest atoms and distances in Å follow each position.
Space group Immm (No. 71)
Asymmetric unit:
Ca (0.0000, 0.0000, 0.0000) [2 per cell]  8 Br 3.04-3.18
Pt (0.0000, 0.0000, 0.5000) [2 per cell]  4 Br 2.68
Br (0.0000, 0.5000, 0.2153) [4 per cell]  2 Pt 2.68

distance to the lowest polymorph of the same formula: 183 meV per atom
formation energy from raw total energies: -0.6922 eV/atom
magnetic moment: 0.0000 μB/atom

(12)
The following is a DFT calculation (PBEsol) of a relaxed structure of CaPtBr2.

Lattice parameters (Å, degrees): 14.1420 3.6598 3.9326 90.00 106.05 90.00
Closest atoms and distances in Å follow each position.
Space group Cm (No. 8)
Asymmetric unit:
Ca (0.0000, 0.0000, 0.0000) [2 per cell]  2 Pt 2.88, 6 Br 2.98
Pt (0.3367, 0.0000, 0.8378) [2 per cell]  4 Br 2.69, 2 Ca 2.88
Br (0.0947, 0.5000, 0.5942) [2 per cell]  4 Ca 2.98
Br (0.3351, 0.5000, 0.3361) [2 per cell]  4 Pt 2.69, 2 Ca 2.98

distance to the lowest polymorph of the same formula: 0 meV per atom
formation energy from raw total energies: -0.8754 eV/atom
magnetic moment: 0.0000 μB/atom

Q: Look up the formation energy from raw total energies of the eighth one.
A: -0.8681 eV/atom